# Co6O7F5 PBE+U optimized geometry
# **E**: -192.153 eV for the cell shown
# **Magnetization**: 12.941 μB per formula unit
# **Excess energy over the best structure of this formula in the dataset**: 2.9 kJ/mol of atoms
# **Crystal system**: orthorhombic
data_Co6O7F5
_space_group_name_H-M_alt 'A m m 2'
_space_group_IT_number 38
_cell_length_a 8.848
_cell_length_b 6.086
_cell_length_c 6.935
_cell_angle_alpha 90.00
_cell_angle_beta 90.00
_cell_angle_gamma 90.00
loop_
_space_group_symop_operation_xyz
'x,y,z'
'-x,-y,z'
'-x,y,z'
'x,-y,z'
'x,y+1/2,z+1/2'
'-x,-y+1/2,z+1/2'
'-x,y+1/2,z+1/2'
'x,-y+1/2,z+1/2'
loop_
_atom_site_label
_atom_site_fract_x
_atom_site_fract_y
_atom_site_fract_z
Co1 0.000 0.000 0.000
Co2 0.162 0.000 0.450
Co3 0.334 0.000 0.948
Co4 0.500 0.000 0.446
O1 0.000 0.000 0.268
O2 0.167 0.193 0.958
O3 0.500 0.193 0.945
F1 0.000 0.000 0.656
F2 0.342 0.000 0.630
F3 0.346 0.000 0.261